[1]
A plane-wave DFT calculation with PBE-GGA was carried out for a relaxed structure of ErTh2Ni.

Calculated values
The value obtained for the formation energy is -225 meV/atom. The calculation puts the density of states at the Fermi level at 9.004 states/eV/cell.

a = 3.6419 Å, b = 6.1252 Å, c = 9.9423 Å
α = 90.00°, β = 90.00°, γ = 107.28°
Last column: nearest neighbours and their distance in Å.
Sites, in units of the cell vectors:
Er 0.9103 0.8193 0.2500  2 Ni 2.88
Er 0.0897 0.1807 0.7500  2 Ni 2.88
Th 0.3650 0.7290 0.5585  2 Ni 2.81
Th 0.6350 0.2710 0.4415  2 Ni 2.81
Th 0.3650 0.7290 0.9415  2 Ni 2.81
Th 0.6350 0.2710 0.0585  2 Ni 2.81
Ni 0.7812 0.5627 0.7500  4 Th 2.81, 2 Er 2.88
Ni 0.2188 0.4373 0.2500  4 Th 2.81, 2 Er 2.88


[2]
A plane-wave DFT calculation with PBE-GGA was carried out for a relaxed structure of LaTiBiOs2.

Calculated values
The value obtained for the formation energy is 916 meV/atom. The calculation puts the density of states at the Fermi level at 4.367 states/eV/cell.

a = 4.6817 Å, b = 5.3863 Å, c = 4.6817 Å
α = 90.00°, β = 90.00°, γ = 90.00°
Last column: nearest neighbours and their distance in Å.
Sites, in units of the cell vectors:
Ti 0.0000 0.0000 0.0000  4 Os 2.34
Os 0.0000 0.0000 0.5000  2 Ti 2.34
Os 0.5000 0.0000 0.0000  2 Ti 2.34
Bi 0.5000 0.5000 0.5000  4 La 3.31, 8 Os 3.57
La 0.0000 0.5000 0.0000  2 Ti 2.69


[3]
A plane-wave DFT calculation with PBE-GGA was carried out for a relaxed structure of CdSbMo2.

Calculated values
The uncorrected energy comes out at -6.1475 eV/atom. The calculation puts the density of states at the Fermi level at 3.188 states/eV/cell.

a = 9.2171 Å, b = 9.2171 Å, c = 9.2171 Å
α = 19.28°, β = 19.28°, γ = 19.28°
Last column: nearest neighbours and their distance in Å.
Sites, in units of the cell vectors:
Cd 0.7500 0.7500 0.7500  6 Mo 2.97, 6 Cd 3.09
Mo 0.9957 0.9957 0.9957  3 Sb 2.79, 3 Cd 2.97, 6 Mo 3.09
Mo 0.5043 0.5043 0.5043  3 Sb 2.79, 3 Cd 2.97, 6 Mo 3.09
Sb 0.2500 0.2500 0.2500  6 Mo 2.79, 6 Sb 3.09


- Which formula does entry 1 have?
  ErTh2Ni